[1]
First-principles (PBE) data for a relaxed structure of KTiBr4, as listed in the Alexandria database.

Cell and atoms, written as extended XYZ:
```
12
Lattice="7.688 -3.619 0.000 7.688 3.619 0.000 -0.907 0.000 6.626" Properties=species:S:1:pos:R:3 pbc="T T T"
K 2.931 0.000 1.472
K 11.538 0.000 5.154
Ti 6.698 0.000 4.570
Ti 7.770 0.000 2.056
Br 5.741 1.633 2.750
Br 7.688 1.725 0.000
Br 4.026 0.000 5.289
Br 8.727 1.633 3.876
Br 5.741 -1.633 2.750
Br 10.442 0.000 1.337
Br 7.688 -1.725 0.000
Br 8.727 -1.633 3.876
```

## Properties
The value obtained for the uncorrected formation energy is -1282 meV per atom. The density of states at the Fermi level comes out at 3.7 states/eV/cell. The value obtained for the volume is 368.72 Å³ per cell. The energy above the lowest structure with this stoichiometry comes out at 72 meV per atom.


[2]
First-principles (PBE) data for a relaxed structure of Mn2Pd7Pt2, as listed in the Alexandria database.

Cell and atoms, written as extended XYZ:
```
11
Lattice="3.489 -3.825 0.000 3.489 3.825 0.000 -1.412 0.000 6.491" Properties=species:S:1:pos:R:3 pbc="T T T"
Mn 3.489 2.368 0.000
Mn 3.489 -2.368 0.000
Pd 0.618 1.467 4.541
Pd 2.270 0.000 0.521
Pd 0.618 -1.467 4.541
Pd 2.783 0.000 3.246
Pd 4.949 1.467 1.950
Pd 3.296 0.000 5.970
Pd 4.949 -1.467 1.950
Pt 0.187 0.000 2.221
Pt 5.379 0.000 4.270
```

## Properties
The formation energy comes out at -0.085 eV/atom. The density of states at the Fermi level comes out at 15.6 states/eV/cell. The value obtained for the volume is 173.25 Å³ per cell.


[3]
First-principles (PBE) data for a relaxed structure of Ga4CuPd7, as listed in the Alexandria database.

Cell and atoms, written as extended XYZ:
```
12
Lattice="5.828 -2.302 0.000 5.828 2.302 0.000 -5.182 0.000 7.332" Properties=species:S:1:pos:R:3 pbc="T T T"
Ga -0.583 0.000 2.083
Ga -1.795 0.000 6.108
Ga 8.269 0.000 1.224
Ga 7.056 0.000 5.249
Cu 3.237 0.000 3.666
Pd -2.591 0.000 3.666
Pd 1.336 0.000 0.490
Pd 0.145 0.000 4.565
Pd 4.034 0.000 1.236
Pd 2.439 0.000 6.096
Pd 6.328 0.000 2.767
Pd 5.137 0.000 6.842
```

## Properties
The formation energy comes out at -0.356 eV/atom. The density of states at the Fermi level comes out at 4.3 states/eV/cell. The value obtained for the volume is 196.76 Å³ per cell.